1.
{"formula": "CaSc4Ni", "functional": "PBE", "state": "optimized geometry", "e_form_mev_per_atom": 493, "final_energy_ev_per_cell": -30.15, "cell": [[0.000, 4.216, 4.216], [4.216, 0.000, 4.216], [4.216, 4.216, 0.000]], "species": ["Ca", "Sc", "Sc", "Sc", "Sc", "Ni"], "frac_coords": [[0.000, 0.000, 0.000], [0.376, 0.376, 0.376], [0.376, 0.376, 0.871], [0.376, 0.871, 0.376], [0.871, 0.376, 0.376], [0.750, 0.750, 0.750]]}



2.
{"formula": "TaV2IrC", "functional": "PBE", "state": "optimized geometry", "e_form_mev_per_atom": -378, "final_energy_ev_per_cell": -50.06, "cell": [[3.954, 0.000, 0.000], [0.000, 3.954, 0.000], [0.000, 0.000, 4.279]], "species": ["Ta", "V", "V", "Ir", "C"], "frac_coords": [[0.000, 0.000, 0.000], [0.000, 0.500, 0.500], [0.500, 0.000, 0.500], [0.500, 0.500, 0.000], [0.000, 0.000, 0.500]]}



3.
{"formula": "UPPdS", "functional": "PBE", "state": "optimized geometry", "formation_energy_uncorrected_mev_per_atom": -647, "final_energy_ev_per_cell": -28.61, "cell": [[-1.674, 1.674, 6.879], [1.674, -1.674, 6.879], [1.674, 1.674, -6.879]], "species": ["U", "P", "Pd", "S"], "frac_coords": [[0.000, 0.000, 0.000], [0.349, 0.349, 0.000], [0.788, 0.788, 0.000], [0.602, 0.602, 0.000]]}



4.
{"formula": "LiTl3In3", "functional": "PBE", "state": "optimized geometry", "de_polymorph_mev_per_atom": 0, "e_form_mev_per_atom": -3, "final_energy_ev_per_cell": -34.50, "cell": [[3.244, 1.873, 10.697], [-3.244, 1.873, 10.697], [0.000, -3.746, 10.697]], "species": ["Li", "Li", "Tl", "Tl", "Tl", "Tl", "Tl", "Tl", "In", "In", "In", "In", "In", "In"], "frac_coords": [[0.120, 0.120, 0.120], [0.880, 0.880, 0.880], [0.122, 0.570, 0.675], [0.325, 0.878, 0.430], [0.430, 0.325, 0.878], [0.570, 0.675, 0.122], [0.675, 0.122, 0.570], [0.878, 0.430, 0.325], [0.032, 0.228, 0.626], [0.228, 0.626, 0.032], [0.374, 0.968, 0.772], [0.626, 0.032, 0.228], [0.772, 0.374, 0.968], [0.968, 0.772, 0.374]]}



Question: What is the formula in the fourth record?
Answer: LiTl3In3